Run i
Computed, not measured: CoBiPt after structural relaxation at the PBE-GGA level of DFT.

Structure (extended XYZ):
```
9
Lattice="7.559 0.000 0.000 -3.779 6.546 0.000 0.000 0.000 3.355" Properties=species:S:1:pos:R:3 pbc="T T T"
Co -2.325 4.027 0.000
Co 1.455 2.519 0.000
Co 4.650 0.000 0.000
Bi -1.114 1.930 1.677
Bi 2.229 0.000 1.677
Bi 2.665 4.616 1.677
Pt 0.000 0.000 0.000
Pt 0.000 4.364 1.677
Pt 3.779 2.182 1.677
```

Run ii
Computed, not measured: CoBiPt after structural relaxation at the PBE-GGA level of DFT.

Structure (extended XYZ):
```
6
Lattice="4.728 0.000 0.000 -2.364 4.094 0.000 0.000 0.000 5.740" Properties=species:S:1:pos:R:3 pbc="T T T"
Co 0.000 0.000 0.000
Co 0.000 0.000 2.870
Bi 0.000 2.730 1.435
Bi 2.364 1.365 4.305
Pt 0.000 2.730 4.305
Pt 2.364 1.365 1.435
```

Run iii
Computed, not measured: CoBiPt after structural relaxation at the PBE-GGA level of DFT.

Structure (extended XYZ):
```
3
Lattice="0.000 3.062 3.062 3.062 0.000 3.062 3.062 3.062 0.000" Properties=species:S:1:pos:R:3 pbc="T T T"
Co 0.000 0.000 0.000
Bi 1.531 1.531 1.531
Pt 4.593 4.593 4.593
```

Run iv
Computed, not measured: CoBiPt after structural relaxation at the PBE-GGA level of DFT.

Structure (extended XYZ):
```
9
Lattice="7.597 0.000 0.000 -3.798 6.579 0.000 0.000 0.000 3.193" Properties=species:S:1:pos:R:3 pbc="T T T"
Co -2.414 4.180 0.000
Co 1.385 2.399 0.000
Co 4.827 0.000 0.000
Bi 0.000 0.000 0.000
Bi 0.000 4.386 1.597
Bi 3.798 2.193 1.597
Pt -1.150 1.991 1.597
Pt 2.299 0.000 1.597
Pt 2.649 4.588 1.597
```

Stability ranking, top entry: run iii; the second entry is 174 meV per atom less favorable.

Run i
Computed, not measured: CoBiPt after structural relaxation at the PBE-GGA level of DFT.

Structure (extended XYZ):
```
6
Lattice="4.671 0.000 0.000 -2.336 4.045 0.000 0.000 0.000 5.767" Properties=species:S:1:pos:R:3 pbc="T T T"
Co 0.000 0.000 0.000
Co 0.000 0.000 2.884
Bi 0.000 2.697 1.559
Bi 2.336 1.348 4.443
Pt 0.000 2.697 4.434
Pt 2.336 1.348 1.551
```

Run ii
Computed, not measured: CoBiPt after structural relaxation at the PBE-GGA level of DFT.

Structure (extended XYZ):
```
6
Lattice="4.589 0.000 0.000 -2.294 3.974 0.000 0.000 0.000 5.690" Properties=species:S:1:pos:R:3 pbc="T T T"
Co 0.000 2.649 1.423
Co 2.294 1.325 4.268
Bi 0.000 2.649 4.268
Bi 2.294 1.325 1.423
Pt 0.000 0.000 0.000
Pt 0.000 0.000 2.845
```

Stability ranking, top entry: run ii; the second entry is 71 meV per atom less favorable.

Run i
Computed, not measured: TaCoBiPt after structural relaxation at the PBE-GGA level of DFT.

Structure (extended XYZ):
```
4
Lattice="0.000 3.253 3.253 3.253 0.000 3.253 3.253 3.253 0.000" Properties=species:S:1:pos:R:3 pbc="T T T"
Ta 0.000 0.000 0.000
Co 3.253 3.253 3.253
Bi 1.627 1.627 1.627
Pt 4.880 4.880 4.880
```

Run ii
Computed, not measured: TaCoBiPt after structural relaxation at the PBE-GGA level of DFT.

Structure (extended XYZ):
```
4
Lattice="0.000 3.283 3.283 3.283 0.000 3.283 3.283 3.283 0.000" Properties=species:S:1:pos:R:3 pbc="T T T"
Ta 0.000 0.000 0.000
Co 4.924 4.924 4.924
Bi 3.283 3.283 3.283
Pt 1.641 1.641 1.641
```

Stability ranking, top entry: run i; the second entry is 13 meV per atom less favorable.

Run i
Computed, not measured: CoBiPtW after structural relaxation at the PBE-GGA level of DFT.

Structure (extended XYZ):
```
4
Lattice="0.000 3.251 3.251 3.251 0.000 3.251 3.251 3.251 0.000" Properties=species:S:1:pos:R:3 pbc="T T T"
Co 0.000 0.000 0.000
Bi 4.876 4.876 4.876
Pt 3.251 3.251 3.251
W 1.625 1.625 1.625
```

Run ii
Computed, not measured: CoBiPtW after structural relaxation at the PBE-GGA level of DFT.

Structure (extended XYZ):
```
4
Lattice="0.000 3.226 3.226 3.226 0.000 3.226 3.226 3.226 0.000" Properties=species:S:1:pos:R:3 pbc="T T T"
Co 0.000 0.000 0.000
Bi 4.840 4.840 4.840
Pt 1.613 1.613 1.613
W 3.226 3.226 3.226
```

Stability ranking, top entry: run ii; the second entry is 136 meV per atom less favorable.

Run i
Computed, not measured: ZrCoReBi after structural relaxation at the PBE-GGA level of DFT.

Structure (extended XYZ):
```
4
Lattice="0.000 3.288 3.288 3.288 0.000 3.288 3.288 3.288 0.000" Properties=species:S:1:pos:R:3 pbc="T T T"
Zr 0.000 0.000 0.000
Co 4.932 4.932 4.932
Re 1.644 1.644 1.644
Bi 3.288 3.288 3.288
```

Run ii
Computed, not measured: ZrCoReBi after structural relaxation at the PBE-GGA level of DFT.

Structure (extended XYZ):
```
4
Lattice="0.000 3.314 3.314 3.314 0.000 3.314 3.314 3.314 0.000" Properties=species:S:1:pos:R:3 pbc="T T T"
Zr 0.000 0.000 0.000
Co 3.314 3.314 3.314
Re 4.971 4.971 4.971
Bi 1.657 1.657 1.657
```

Stability ranking, top entry: run i; the second entry is 315 meV per atom less favorable.

Run i
Computed, not measured: TaCoTcBi after structural relaxation at the PBE-GGA level of DFT.

Structure (extended XYZ):
```
4
Lattice="0.000 3.244 3.244 3.244 0.000 3.244 3.244 3.244 0.000" Properties=species:S:1:pos:R:3 pbc="T T T"
Ta 0.000 0.000 0.000
Co 3.244 3.244 3.244
Tc 4.865 4.865 4.865
Bi 1.622 1.622 1.622
```

Run ii
Computed, not measured: TaCoTcBi after structural relaxation at the PBE-GGA level of DFT.

Structure (extended XYZ):
```
4
Lattice="0.000 3.218 3.218 3.218 0.000 3.218 3.218 3.218 0.000" Properties=species:S:1:pos:R:3 pbc="T T T"
Ta 0.000 0.000 0.000
Co 4.827 4.827 4.827
Tc 1.609 1.609 1.609
Bi 3.218 3.218 3.218
```

Stability ranking, top entry: run ii; the second entry is 319 meV per atom less favorable.